Material: Cs6K2RbS
Method: DFT, GGA-PBE
State: relaxed

Cell and atoms, written as extended XYZ:
```
10
Lattice="7.8188 -7.8159 0.0000 7.8188 7.8159 0.0000 -7.6940 0.0000 7.8281" Properties=species:S:1:pos:R:3 pbc="T T T"
Cs 0.0000 0.0000 0.0000
Cs -3.3148 0.0000 3.3848
Cs 3.3890 0.0000 3.3156
Cs 0.0764 0.0000 6.7073
Cs 7.8559 4.4650 3.3538
Cs 7.8559 -4.4650 3.3538
K 4.0093 3.8904 7.2623
K 4.0093 -3.8904 7.2623
Rb 7.8550 0.0000 3.3591
S 0.0373 0.0000 3.3535
```

Crystal system   monoclinic
Energy relative to the elements, uncorrected   -0.250 eV/atom